No. 1
Entry from the Alexandria database: BaCa2Mg after structural relaxation (PBEsol).

The formation energy is 0.03 eV per atom.

The structure belongs to space group Cm (No. 8); the cell edges are 13.198, 4.457 and 6.005 Å and the angles 90.00°, 117.03° and 90.00°. The inequivalent atoms are Ba at (0.000, 0.000, 0.000), Ca at (0.225, 0.000, 0.724), Ca at (0.460, 0.000, 0.460) and Mg at (0.245, 0.500, 0.244).

No. 2
Entry from the Alexandria database: ReTcPt2 after structural relaxation (PBEsol).

The formation energy is -0.14 eV per atom. Its relative energy among the computed polymorphs is 0 meV/atom.

The structure belongs to space group P4mm (No. 99); the cell edges are 2.731, 2.731 and 7.811 Å and the angles 90.00°, 90.00° and 90.00°. The inequivalent atoms are Re at (0.000, 0.000, 0.000), Tc at (0.500, 0.500, 0.232), Pt at (0.000, 0.000, 0.482) and Pt at (0.500, 0.500, 0.750).

No. 3
Entry from the Alexandria database: YZn4Ru after structural relaxation (PBEsol).

The formation energy is -0.30 eV per atom.

The structure belongs to space group F-43m (No. 216); the cell edges are 7.122, 7.122 and 7.122 Å and the angles 90.00°, 90.00° and 90.00°. The inequivalent atoms are Y at (0.000, 0.000, 0.000), Zn at (0.124, 0.124, 0.624) and Ru at (0.250, 0.250, 0.250).

No. 4
Entry from the Alexandria database: NbCd3Pt after structural relaxation (PBEsol).

The formation energy is 1.71 eV per atom.

The structure belongs to space group Pm-3m (No. 221); the cell edges are 5.179, 5.179 and 5.179 Å and the angles 90.00°, 90.00° and 90.00°. The inequivalent atoms are Nb at (0.000, 0.000, 0.000), Cd at (0.000, 0.000, 0.500) and Pt at (0.500, 0.500, 0.500).

No. 5
Entry from the Alexandria database: MnAl2Pb after structural relaxation (PBEsol).

The formation energy is 0.34 eV per atom.

The structure belongs to space group Imm2 (No. 44); the cell edges are 4.018, 4.159 and 8.618 Å and the angles 90.00°, 90.00° and 90.00°. The inequivalent atoms are Mn at (0.000, 0.000, 0.000), Al at (0.000, 0.000, 0.505), Al at (0.000, 0.500, 0.259) and Pb at (0.000, 0.500, 0.751).

No. 6
Entry from the Alexandria database: BaLi2Mg2 after structural relaxation (PBEsol).

The formation energy is 0.05 eV per atom. Its relative energy among the computed polymorphs is 51 meV/atom.

The structure belongs to space group P4/mbm (No. 127); the cell edges are 8.966, 8.966 and 3.364 Å and the angles 90.00°, 90.00° and 90.00°. The inequivalent atoms are Ba at (0.000, 0.000, 0.000), Li at (0.170, 0.330, 0.500) and Mg at (0.121, 0.621, 0.000).

No. 7
Entry from the Alexandria database: Ca2Ge2Pd after structural relaxation (PBEsol).

The formation energy is -0.72 eV per atom.

The structure belongs to space group P4/mbm (No. 127); the cell edges are 6.708, 6.708 and 4.590 Å and the angles 90.00°, 90.00° and 90.00°. The inequivalent atoms are Ca at (0.169, 0.331, 0.000), Ge at (0.138, 0.638, 0.500) and Pd at (0.000, 0.000, 0.500).

No. 8
Entry from the Alexandria database: Cu2IrPt after structural relaxation (PBEsol).

The formation energy is 0.08 eV per atom. Its relative energy among the computed polymorphs is 84 meV/atom.

The structure belongs to space group Cmmm (No. 65); the cell edges are 2.682, 4.543 and 8.782 Å and the angles 90.00°, 90.00° and 90.00°. The inequivalent atoms are Cu at (0.000, 0.000, 0.249), Ir at (0.000, 0.500, 0.000) and Pt at (0.000, 0.500, 0.500).

| no. | size of the total moment (μB/cell) |
| --- | --- |
| 1 | 0.0 |
| 2 | 0.0 |
| 3 | 0.0 |
| 4 | 0.0 |
| 5 | 6.6 |
| 6 | 0.0 |
| 7 | 0.0 |
| 8 | 0.0 |